# 1
VASP calculation (GGA+U) on an optimized crystal structure of Fe3AsO7.

Summary:
For the total magnetic moment, the calculation gives 60.0 μB per cell. The uncorrected energy is -6.406 eV per atom. The density comes out at 5.203 g/cm3.

Cell lengths 6.929, 9.614, 6.793 Å; angles 90.00, 90.00, 90.00 degrees
Space group C222_1 (No. 20)
Symmetry-distinct sites (fractional):
Fe 0.040 0.000 0.000 (multiplicity 4)
Fe 0.236 0.266 0.755 (multiplicity 8)
As 0.004 0.500 0.000 (multiplicity 4)
O 0.000 0.127 0.250 (multiplicity 4)
O 0.000 0.146 0.750 (multiplicity 4)
O 0.000 0.432 0.750 (multiplicity 4)
O 0.184 0.367 0.036 (multiplicity 8)
O 0.201 0.376 0.469 (multiplicity 8)

=====

# 2
VASP calculation (GGA+U) on an optimized crystal structure of FeAs3O.

Summary:
The value obtained for the density of states at the Fermi level is 4.9 states/eV per cell. For the total magnetic moment, the calculation gives 2.5 μB per cell. The uncorrected energy is -3.864 eV per atom. The density comes out at 4.986 g/cm3.

Cell lengths 4.623, 4.623, 4.623 Å; angles 90.00, 90.00, 90.00 degrees
Space group Pm-3m (No. 221)
Symmetry-distinct sites (fractional):
Fe 0.000 0.000 0.000 (multiplicity 1)
As 0.000 0.000 0.500 (multiplicity 3)
O 0.500 0.500 0.500 (multiplicity 1)

=====

# 3
VASP calculation (GGA+U) on an optimized crystal structure of Fe2AsO.

Summary:
The value obtained for the density of states at the Fermi level is 3.9 states/eV per cell. For the total magnetic moment, the calculation gives 32.0 μB per cell. The uncorrected energy is -5.574 eV per atom. The density comes out at 4.715 g/cm3.

Cell lengths 5.140, 5.140, 10.805 Å; angles 90.00, 90.00, 90.00 degrees
Space group I-42d (No. 122)
Symmetry-distinct sites (fractional):
Fe 0.156 0.250 0.125 (multiplicity 8)
As 0.000 0.000 0.500 (multiplicity 4)
O 0.000 0.000 0.000 (multiplicity 4)

=====

# 4
VASP calculation (GGA+U) on an optimized crystal structure of Fe2AsO.

Summary:
The value obtained for the density of states at the Fermi level is 23.4 states/eV per cell. For the total magnetic moment, the calculation gives 23.7 μB per cell. The uncorrected energy is -4.849 eV per atom. The density comes out at 6.297 g/cm3.

Cell lengths 5.979, 5.979, 5.979 Å; angles 90.00, 90.00, 90.00 degrees
Space group Fm-3m (No. 225)
Symmetry-distinct sites (fractional):
Fe 0.250 0.250 0.250 (multiplicity 8)
As 0.000 0.000 0.000 (multiplicity 4)
O 0.000 0.000 0.500 (multiplicity 4)

=====

# 5
VASP calculation (GGA+U) on an optimized crystal structure of Fe2AsO2.

Summary:
The value obtained for the density of states at the Fermi level is 5.5 states/eV per cell. For the total magnetic moment, the calculation gives 17.7 μB per cell. The uncorrected energy is -5.606 eV per atom. The density comes out at 5.251 g/cm3.

Cell lengths 3.538, 3.538, 11.044 Å; angles 90.00, 90.00, 90.00 degrees
Space group I4/mmm (No. 139)
Symmetry-distinct sites (fractional):
Fe 0.000 0.000 0.161 (multiplicity 4)
As 0.000 0.000 0.500 (multiplicity 2)
O 0.000 0.500 0.250 (multiplicity 4)

=====

# 6
VASP calculation (GGA+U) on an optimized crystal structure of Fe2AsO2.

Summary:
The value obtained for the density of states at the Fermi level is 3.7 states/eV per cell. For the total magnetic moment, the calculation gives 12.5 μB per cell. The uncorrected energy is -5.389 eV per atom. The density comes out at 5.999 g/cm3.

Cell lengths 6.652, 6.652, 2.735 Å; angles 90.00, 90.00, 90.00 degrees
Space group P4/mbm (No. 127)
Symmetry-distinct sites (fractional):
Fe 0.138 0.362 0.000 (multiplicity 4)
As 0.000 0.000 0.000 (multiplicity 2)
O 0.138 0.638 0.500 (multiplicity 4)